Entry 1:
! Zn7Au, optimized geometry, DFT GGA-PBEsol; values from VASP
&SYSTEM
  ibrav = 0, nat = 8, ntyp = 2
/
ATOMIC_SPECIES
Zn 65.41 Zn.upf
Au 196.97 Au.upf
ATOMIC_POSITIONS angstrom
Zn -1.255 0.214 2.413
Zn -1.756 -1.929 0.800
Zn -4.428 -1.383 0.905
Zn -3.011 -1.715 3.214
Zn -3.927 0.760 2.518
Zn -5.683 -1.170 3.318
Zn -2.672 0.546 0.105
Au 0.000 0.000 0.000
CELL_PARAMETERS angstrom
-5.343 1.091 0.210
-3.512 -3.858 1.600
-2.510 0.428 4.827
! SG: No. 225

---

Entry 2:
! ZnAu, optimized geometry, DFT GGA-PBEsol; values from VASP
&SYSTEM
  ibrav = 0, nat = 4, ntyp = 2
/
ATOMIC_SPECIES
Zn 65.41 Zn.upf
Au 196.97 Au.upf
ATOMIC_POSITIONS angstrom
Zn 3.828 -0.432 0.521
Zn 1.465 -1.621 1.459
Au 1.596 -0.437 -0.907
Au 3.696 -1.616 2.887
CELL_PARAMETERS angstrom
-0.468 -3.249 0.743
1.753 -0.878 -2.736
4.650 0.011 2.976
! SG: No. 129

---

Entry 3:
! ZnAu2, optimized geometry, DFT GGA-PBEsol; values from VASP
&SYSTEM
  ibrav = 0, nat = 6, ntyp = 2
/
ATOMIC_SPECIES
Zn 65.41 Zn.upf
Au 196.97 Au.upf
ATOMIC_POSITIONS angstrom
Zn 0.000 0.000 0.000
Zn 1.452 2.159 3.840
Au 0.788 2.159 6.406
Au 0.664 0.000 2.566
Au 2.240 0.000 5.115
Au 2.116 2.159 1.274
CELL_PARAMETERS angstrom
2.904 0.000 0.000
0.000 4.319 0.000
0.000 0.000 7.680
! SG: No. 58

---

Entry 4:
! ZnAu, optimized geometry, DFT GGA-PBEsol; values from VASP
&SYSTEM
  ibrav = 0, nat = 4, ntyp = 2
/
ATOMIC_SPECIES
Au 196.97 Au.upf
Zn 65.41 Zn.upf
ATOMIC_POSITIONS angstrom
Au 1.444 0.834 1.214
Au 0.000 1.667 7.419
Zn 0.000 1.667 3.313
Zn 1.444 0.834 5.320
CELL_PARAMETERS angstrom
2.887 0.000 0.000
-1.444 2.501 0.000
0.000 0.000 8.633
! SG: No. 164

---

What formation energy from the elements values result from the calculations? In sequence: -43; -175; -134; -97 meV per atom.